(1)
# Be2SbAs GGA-PBE optimized geometry
# Formation energy (no corrections) ... 51.3 kJ per mole of atoms
# Total DFT energy (no corrections) ... -0.1295 hartree per atom
# DOS(E_F) ... 2.4 states/eV per cell
# Distance to the lowest polymorph of the same formula ... 0.393 eV per atom
# Total magnetization ... 0.00 Bohr magnetons per cell
data_Be2SbAs
_chemical_formula_sum 'Be4 Sb2 As2'
_cell_length_a 3.586
_cell_length_b 5.358
_cell_length_c 7.051
_cell_angle_alpha 90.00
_cell_angle_beta 90.00
_cell_angle_gamma 90.00
_symmetry_space_group_name_H-M 'C m m m'
_symmetry_Int_Tables_number 65
_symmetry_space_group_name_Hall '-C 2 2'
loop_
_atom_site_label
_atom_site_fract_x
_atom_site_fract_y
_atom_site_fract_z
Be1 0.000 0.000 0.209
Sb1 0.000 0.500 0.500
As1 0.000 0.500 0.000



(2)
# ReAg4Br GGA-PBE optimized geometry
# Formation energy (no corrections) ... 92.0 kJ per mole of atoms
# Total DFT energy (no corrections) ... -0.1213 hartree per atom
# DOS(E_F) ... 9.9 states/eV per cell
# Total magnetization ... 16.23 Bohr magnetons per cell
data_ReAg4Br
_chemical_formula_sum 'Re4 Ag16 Br4'
_cell_length_a 7.860
_cell_length_b 7.860
_cell_length_c 7.860
_cell_angle_alpha 90.00
_cell_angle_beta 90.00
_cell_angle_gamma 90.00
_symmetry_space_group_name_H-M 'F -4 3 m'
_symmetry_Int_Tables_number 216
_symmetry_space_group_name_Hall 'F -4 2 3'
loop_
_atom_site_label
_atom_site_fract_x
_atom_site_fract_y
_atom_site_fract_z
Re1 0.000 0.000 0.000
Ag1 0.125 0.125 0.625
Br1 0.250 0.250 0.250